No. 1
CsZr2Zn | PBE | optimized geometry

a b c (Å): 4.701 4.701 11.568
angles (deg): 78.28 78.28 90.00
Sites, in units of the cell vectors:
Zn  0.250  0.750  0.500
Zn  0.500  0.500  0.000
Cs  0.750  0.250  0.500
Cs  0.000  0.000  0.000
Zr  0.375  0.493  0.750
Zr  0.875  0.757  0.750
Zr  0.507  0.125  0.250
Zr  0.243  0.625  0.250

Magnetization (Bohr magnetons per cell): 0.000
Formation energy (eV/atom): 1.0264
Uncorrected energy (hartree per atom): -0.139
SG: I-42d
N(E_F) (states/eV per atom): 1.157

***

No. 2
TbDyIrAu | PBE | optimized geometry

a b c (Å): 4.977 4.977 4.977
angles (deg): 60.00 60.00 60.00
Sites, in units of the cell vectors:
Ir  0.500  0.500  0.500
Dy  0.250  0.250  0.250
Tb  0.750  0.750  0.750
Au  0.000  0.000  0.000

Magnetization (Bohr magnetons per cell): 0.000
Formation energy (eV/atom): -0.8179
Uncorrected energy (hartree per atom): -0.226
SG: F-43m
N(E_F) (states/eV per atom): 0.916

***

No. 3
IrPb2Au | PBE | optimized geometry

a b c (Å): 3.351 3.353 7.993
angles (deg): 90.00 90.00 90.00
Sites, in units of the cell vectors:
Au  0.500  0.500  0.250
Pb  0.000  0.000  0.976
Pb  0.000  0.000  0.524
Ir  0.500  0.500  0.750

Magnetization (Bohr magnetons per cell): 0.000
Formation energy (eV/atom): 0.2772
Uncorrected energy (hartree per atom): -0.169
SG: P4/mmm
N(E_F) (states/eV per atom): 0.716
Excess energy over the best structure of this formula in the dataset (meV/atom): 89.8

***

No. 4
Ca2TeI | PBE | optimized geometry

a b c (Å): 5.569 5.569 5.569
angles (deg): 60.00 60.00 60.00
Sites, in units of the cell vectors:
I  0.500  0.500  0.500
Te  0.000  0.000  0.000
Ca  0.250  0.250  0.250
Ca  0.750  0.750  0.750

Magnetization (Bohr magnetons per cell): 0.000
ΔE_f (raw) (eV/atom): -1.16
Uncorrected energy (hartree per atom): -0.123
SG: Fm-3m
N(E_F) (states/eV per atom): 0.611
Excess energy over the best structure of this formula in the dataset (meV/atom): 144.7

***

No. 5
Sr2TbPt4Pb3 | PBE | optimized geometry

a b c (Å): 4.794 4.794 11.342
angles (deg): 90.00 90.00 90.00
Sites, in units of the cell vectors:
Pb  0.000  0.000  0.500
Pb  0.000  0.500  0.122
Pb  0.500  0.000  0.878
Pt  0.500  0.500  0.000
Pt  0.000  0.500  0.362
Pt  0.000  0.000  0.000
Pt  0.500  0.000  0.638
Sr  0.000  0.500  0.778
Sr  0.500  0.000  0.222
Tb  0.500  0.500  0.500

Magnetization (Bohr magnetons per cell): 0.000
Formation energy (eV/atom): -0.6289
Uncorrected energy (hartree per atom): -0.182
SG: P-4m2
N(E_F) (states/eV per atom): 0.498

***

No. 6
BaCd6Sb4 | PBE | optimized geometry

a b c (Å): 4.678 4.678 15.634
angles (deg): 94.45 102.71 90.32
Sites, in units of the cell vectors:
Sb  0.590  0.528  0.118
Sb  0.764  0.872  0.635
Sb  0.236  0.128  0.365
Sb  0.410  0.472  0.882
Ba  0.000  0.000  0.000
Cd  0.651  0.066  0.241
Cd  0.825  0.409  0.759
Cd  0.175  0.591  0.241
Cd  0.215  0.715  0.500
Cd  0.785  0.285  0.500
Cd  0.349  0.934  0.759

Magnetization (Bohr magnetons per cell): 0.000
ΔE_f (raw) (eV/atom): -0.20
Uncorrected energy (hartree per atom): -0.087
SG: C2/m
N(E_F) (states/eV per atom): 0.300

***

No. 7
NaPmSi2 | PBE | optimized geometry

a b c (Å): 4.350 6.585 13.389
angles (deg): 90.00 90.00 90.00
Sites, in units of the cell vectors:
Na  0.250  0.747  0.973
Na  0.750  0.253  0.027
Na  0.250  0.247  0.527
Na  0.750  0.753  0.473
Si  0.750  0.927  0.835
Si  0.250  0.941  0.335
Si  0.750  0.427  0.665
Si  0.250  0.073  0.165
Si  0.250  0.573  0.335
Si  0.750  0.059  0.665
Si  0.750  0.559  0.835
Si  0.250  0.441  0.165
Pm  0.250  0.743  0.697
Pm  0.750  0.257  0.303
Pm  0.250  0.243  0.803
Pm  0.750  0.757  0.197

Magnetization (Bohr magnetons per cell): 0.000
ΔE_f (raw) (eV/atom): -0.40
Uncorrected energy (hartree per atom): -0.170
SG: Pnma
N(E_F) (states/eV per atom): 0.178

***

No. 8
SrMn | PBE | optimized geometry

a b c (Å): 7.281 7.281 7.281
angles (deg): 90.00 90.00 90.00
Sites, in units of the cell vectors:
Mn  0.750  0.250  0.750
Mn  0.250  0.250  0.250
Mn  0.750  0.750  0.250
Mn  0.250  0.750  0.750
Sr  0.000  0.000  0.000
Sr  0.500  0.000  0.500
Sr  0.500  0.500  0.000
Sr  0.000  0.500  0.500

Magnetization (Bohr magnetons per cell): 17.717
Formation energy (eV/atom): 1.5218
Uncorrected energy (hartree per atom): -0.143
SG: F-43m
N(E_F) (states/eV per atom): 2.039

***

No. 9
BaGeSb2 | PBE | optimized geometry

a b c (Å): 4.216 4.216 8.877
angles (deg): 76.26 76.26 60.00
Sites, in units of the cell vectors:
Ba  0.500  0.500  0.500
Ge  0.000  0.000  0.000
Sb  0.269  0.269  0.192
Sb  0.731  0.731  0.808

Magnetization (Bohr magnetons per cell): 0.000
ΔE_f (raw) (eV/atom): -0.16
Uncorrected energy (hartree per atom): -0.142
SG: R-3m
N(E_F) (states/eV per atom): 0.918

***

No. 10
GaAs2BrF | PBE | optimized geometry

a b c (Å): 4.347 4.347 6.487
angles (deg): 90.00 90.00 90.00
Sites, in units of the cell vectors:
Ga  0.500  0.500  0.500
As  0.000  0.500  0.000
As  0.500  0.000  0.000
F  0.000  0.000  0.000
Br  0.000  0.000  0.500

Magnetization (Bohr magnetons per cell): 0.000
ΔE_f (raw) (eV/atom): 0.08
Uncorrected energy (hartree per atom): -0.114
SG: P4/mmm
N(E_F) (states/eV per atom): 0.842
Excess energy over the best structure of this formula in the dataset (meV/atom): 0.0

***

No. 11
Cs2LiC2O6 | PBE | optimized geometry

a b c (Å): 5.117 6.912 7.271
angles (deg): 118.05 90.00 111.73
Sites, in units of the cell vectors:
Li  0.500  0.000  0.500
O  0.730  0.898  0.265
O  0.832  0.102  0.735
O  0.885  0.770  0.672
O  0.270  0.102  0.735
O  0.115  0.230  0.328
O  0.168  0.898  0.265
Cs  0.689  0.379  0.186
Cs  0.311  0.621  0.814
C  0.005  0.010  0.287
C  0.995  0.990  0.713

Magnetization (Bohr magnetons per cell): 1.009
ΔE_f (raw) (eV/atom): -1.63
Uncorrected energy (hartree per atom): -0.233
SG: C2/m
N(E_F) (states/eV per atom): 0.445

***

No. 12
Zn2CoCl | PBE | optimized geometry

a b c (Å): 7.816 7.816 7.816
angles (deg): 22.83 22.83 22.83
Sites, in units of the cell vectors:
Zn  0.494  0.494  0.494
Zn  0.006  0.006  0.006
Cl  0.250  0.250  0.250
Co  0.750  0.750  0.750

Magnetization (Bohr magnetons per cell): 1.341
ΔE_f (raw) (eV/atom): 0.03
Uncorrected energy (hartree per atom): -0.104
SG: R-3m
N(E_F) (states/eV per atom): 0.820
Excess energy over the best structure of this formula in the dataset (meV/atom): 94.0

***

No. 13
RbReAsBr2 | PBE | optimized geometry

a b c (Å): 6.159 6.159 6.323
angles (deg): 90.00 90.00 90.00
Sites, in units of the cell vectors:
Rb  0.000  0.000  0.000
Br  0.000  0.500  0.000
Br  0.500  0.000  0.000
As  0.000  0.000  0.500
Re  0.500  0.500  0.500

Magnetization (Bohr magnetons per cell): 6.623
ΔE_f (raw) (eV/atom): 1.61
Uncorrected energy (hartree per atom): -0.098
SG: P4/mmm
N(E_F) (states/eV per atom): 1.923
Excess energy over the best structure of this formula in the dataset (meV/atom): 1752.4

***

No. 14
Na2Sr6Ag | PBE | optimized geometry

a b c (Å): 10.193 10.193 10.193
angles (deg): 75.01 70.44 114.00
Sites, in units of the cell vectors:
Sr  0.174  0.237  0.590
Sr  0.674  0.411  0.263
Sr  0.326  0.063  0.263
Sr  0.091  0.279  0.189
Sr  0.674  0.937  0.737
Sr  0.909  0.721  0.811
Sr  0.826  0.763  0.410
Sr  0.174  0.763  0.063
Sr  0.468  0.279  0.811
Sr  0.326  0.589  0.737
Sr  0.826  0.237  0.937
Sr  0.532  0.721  0.189
Na  0.365  0.000  0.635
Na  0.137  0.637  0.500
Na  0.635  0.000  0.365
Na  0.863  0.363  0.500
Ag  0.000  0.000  0.000
Ag  0.500  0.500  0.000

Magnetization (Bohr magnetons per cell): 0.000
Formation energy (eV/atom): 0.0088
Uncorrected energy (hartree per atom): -0.063
SG: Immm
N(E_F) (states/eV per atom): 0.790

***

No. 15
Sm2Ga3Pd5 | PBE | optimized geometry

a b c (Å): 4.245 6.829 12.775
angles (deg): 90.00 99.56 90.00
Sites, in units of the cell vectors:
Ga  0.955  0.417  0.910
Ga  0.627  0.451  0.255
Ga  0.218  0.317  0.436
Ga  0.373  0.951  0.745
Ga  0.045  0.917  0.090
Ga  0.782  0.817  0.564
Sm  0.175  0.766  0.351
Sm  0.825  0.266  0.649
Sm  0.526  0.227  0.052
Sm  0.474  0.727  0.948
Pd  0.881  0.685  0.761
Pd  0.119  0.185  0.239
Pd  0.273  0.014  0.545
Pd  0.403  0.354  0.805
Pd  0.059  0.542  0.118
Pd  0.696  0.092  0.392
Pd  0.941  0.042  0.882
Pd  0.727  0.514  0.455
Pd  0.304  0.592  0.608
Pd  0.597  0.854  0.195

Magnetization (Bohr magnetons per cell): 0.000
Formation energy (eV/atom): -0.7936
Uncorrected energy (hartree per atom): -0.193
SG: Cmc2_1
N(E_F) (states/eV per atom): 0.410
Excess energy over the best structure of this formula in the dataset (meV/atom): 0.0

***

No. 16
Cd2Ru | PBE | optimized geometry

a b c (Å): 5.584 5.584 7.031
angles (deg): 75.79 75.79 30.99
Sites, in units of the cell vectors:
Cd  0.622  0.622  0.266
Cd  0.342  0.342  0.344
Cd  0.655  0.655  0.671
Cd  0.997  0.997  0.999
Ru  0.288  0.288  0.919
Ru  0.928  0.928  0.634

Magnetization (Bohr magnetons per cell): 0.533
Formation energy (eV/atom): 0.2560
Uncorrected energy (hartree per atom): -0.127
SG: Cm
N(E_F) (states/eV per atom): 0.802

***

No. 17
MnCdHN | PBE | optimized geometry

a b c (Å): 7.151 2.946 5.110
angles (deg): 90.00 90.39 90.00
Sites, in units of the cell vectors:
H  0.752  0.000  0.189
H  0.752  0.500  0.689
N  0.897  0.000  0.191
N  0.897  0.500  0.691
Cd  0.365  0.000  0.530
Cd  0.365  0.500  0.030
Mn  0.017  0.000  0.859
Mn  0.017  0.500  0.359

Magnetization (Bohr magnetons per cell): 5.500
Uncorrected energy (hartree per atom): -0.202
SG: Cm
N(E_F) (states/eV per atom): 0.408
Excess energy over the best structure of this formula in the dataset (meV/atom): 0.0

***

No. 18
ZrPb4N4 | PBE | optimized geometry

a b c (Å): 6.972 7.903 9.588
angles (deg): 65.66 75.99 55.47
Sites, in units of the cell vectors:
Pb  0.232  0.708  0.047
Pb  0.237  0.385  0.864
Pb  0.263  0.986  0.636
Pb  0.732  0.513  0.547
Pb  0.737  0.014  0.364
Pb  0.763  0.615  0.136
Pb  0.268  0.487  0.453
Pb  0.768  0.292  0.953
N  0.526  0.698  0.854
N  0.974  0.578  0.646
N  0.026  0.422  0.354
N  0.474  0.302  0.146
N  0.974  0.726  0.913
N  0.526  0.113  0.587
N  0.474  0.887  0.413
N  0.026  0.274  0.087
Zr  0.250  0.187  0.250
Zr  0.750  0.813  0.750

Magnetization (Bohr magnetons per cell): 0.000
ΔE_f (raw) (eV/atom): 0.08
Uncorrected energy (hartree per atom): -0.228
SG: C2/c

***

No. 19
CaY2ZnI | PBE | optimized geometry

a b c (Å): 5.505 5.680 5.505
angles (deg): 90.00 90.00 90.00
Sites, in units of the cell vectors:
Zn  0.000  0.000  0.000
Y  0.000  0.000  0.500
Y  0.500  0.000  0.000
Ca  0.000  0.500  0.000
I  0.500  0.500  0.500

Magnetization (Bohr magnetons per cell): 0.000
ΔE_f (raw) (eV/atom): -0.07
Uncorrected energy (hartree per atom): -0.133
SG: P4/mmm
N(E_F) (states/eV per atom): 0.869

***

No. 20
ScCuPd4 | PBE | optimized geometry

a b c (Å): 3.806 4.928 6.339
angles (deg): 106.39 72.53 67.28
Sites, in units of the cell vectors:
Pd  0.670  0.993  0.667
Pd  0.839  0.501  0.821
Pd  0.330  0.007  0.333
Pd  0.161  0.499  0.179
Cu  0.500  0.500  0.500
Sc  0.000  0.000  0.000

Magnetization (Bohr magnetons per cell): 0.000
Formation energy (eV/atom): -0.5247
Uncorrected energy (hartree per atom): -0.210
SG: C2/m
N(E_F) (states/eV per atom): 0.373
Excess energy over the best structure of this formula in the dataset (meV/atom): 17.3